Record 1
A plane-wave DFT calculation with PBE was carried out for a relaxed structure of BeCuPd6.

Computed properties:
**Total energy**: -4.993 eV/atom

a b c (Å): 6.4597 7.4704 4.9441
angles (deg): 40.63 49.08 54.49
With the nearest neighbours (Å) after each atom.
Atoms (fractional coordinates):
Pd (0.7718, 0.9364, 0.9002)  1 Be 2.18
Pd (0.6087, 0.2279, 0.2285)  1 Be 2.18
Pd (0.2282, 0.0636, 0.0998)  1 Be 2.18
Pd (0.3913, 0.7721, 0.7715)  1 Be 2.18
Pd (0.0649, 0.3923, 0.3139)  1 Be 2.18
Pd (0.9351, 0.6077, 0.6861)  1 Be 2.18
Cu (0.5000, 0.5000, 0.5000)  12 Pd 2.76-2.85
Be (0.0000, 0.0000, 0.0000)  6 Pd 2.18

***

Record 2
A plane-wave DFT calculation with PBE was carried out for a relaxed structure of Be2CuPd.

Computed properties:
**Total energy**: -4.153 eV/atom

a b c (Å): 6.0547 6.0547 4.9782
angles (deg): 52.55 52.55 90.00
With the nearest neighbours (Å) after each atom.
Atoms (fractional coordinates):
Be (0.8750, 0.8672, 0.7500)  2 Cu 2.20, 2 Pd 2.27
Be (0.1328, 0.6250, 0.2500)  2 Cu 2.20, 2 Pd 2.27
Be (0.3750, 0.3828, 0.7500)  2 Cu 2.20, 2 Pd 2.27
Be (0.6172, 0.1250, 0.2500)  2 Cu 2.20, 2 Pd 2.27
Cu (0.5000, 0.5000, 0.0000)  4 Be 2.20
Cu (0.2500, 0.7500, 0.5000)  4 Be 2.20
Pd (0.7500, 0.2500, 0.5000)  4 Be 2.27
Pd (0.0000, 0.0000, 0.0000)  4 Be 2.27

***

Record 3
A plane-wave DFT calculation with PBE was carried out for a relaxed structure of Be4CuPd2.

Computed properties:
**Total energy**: -4.429 eV/atom

a b c (Å): 3.9545 3.9545 6.2470
angles (deg): 71.55 71.55 60.00
With the nearest neighbours (Å) after each atom.
Atoms (fractional coordinates):
Pd (0.7358, 0.7358, 0.7926)  7 Be 2.28-2.54
Pd (0.2642, 0.2642, 0.2074)  7 Be 2.28-2.54
Cu (0.0000, 0.0000, 0.0000)  2 Be 2.33, 6 Pd 2.58
Be (0.8667, 0.8667, 0.4000)  4 Pd 2.28-2.54, 1 Cu 2.33, 3 Be 2.46
Be (0.1333, 0.1333, 0.6000)  4 Pd 2.28-2.54, 1 Cu 2.33, 3 Be 2.46
Be (0.4145, 0.4145, 0.7565)  3 Pd 2.29, 3 Be 2.46
Be (0.5855, 0.5855, 0.2435)  3 Pd 2.29, 3 Be 2.46

***

Record 4
A plane-wave DFT calculation with PBE was carried out for a relaxed structure of BeCuPd5.

Computed properties:
**Total energy**: -4.800 eV/atom

a b c (Å): 5.3000 5.3000 9.8996
angles (deg): 63.45 63.45 68.55
With the nearest neighbours (Å) after each atom.
Atoms (fractional coordinates):
Cu (0.6721, 0.3279, 0.2500)  7 Pd 2.49-2.69
Cu (0.3279, 0.6721, 0.7500)  7 Pd 2.49-2.69
Pd (0.2693, 0.4762, 0.4886)  1 Cu 2.58, 1 Be 2.64, 8 Pd 2.66-2.87
Pd (0.3708, 0.1486, 0.7657)  1 Be 2.30
Pd (0.6292, 0.8514, 0.2343)  1 Be 2.30
Pd (0.8514, 0.6292, 0.7343)  1 Be 2.30
Pd (0.4762, 0.2693, 0.9886)  1 Cu 2.58, 1 Be 2.64, 8 Pd 2.66-2.87
Pd (0.7307, 0.5238, 0.5114)  1 Cu 2.58, 1 Be 2.64, 8 Pd 2.66-2.87
Pd (0.5238, 0.7307, 0.0114)  1 Cu 2.58, 1 Be 2.64, 8 Pd 2.66-2.87
Pd (0.0885, 0.9115, 0.2500)  1 Cu 2.49, 2 Be 2.53, 6 Pd 2.65-2.71
Pd (0.9115, 0.0885, 0.7500)  1 Cu 2.49, 2 Be 2.53, 6 Pd 2.65-2.71
Pd (0.1486, 0.3708, 0.2657)  1 Be 2.30
Be (0.0000, 0.0000, 0.5000)  4 Pd 2.30-2.53
Be (0.0000, 0.0000, 0.0000)  4 Pd 2.30-2.53

***

Record 5
A plane-wave DFT calculation with PBE was carried out for a relaxed structure of Be5CuPd6.

Computed properties:
**Total energy**: -4.997 eV/atom

a b c (Å): 3.9906 5.9275 6.3214
angles (deg): 90.00 108.31 90.00
With the nearest neighbours (Å) after each atom.
Atoms (fractional coordinates):
Be (0.6627, 0.0000, 0.3259)  8 Pd 2.51, 2 Cu 2.79-2.80
Be (0.3373, 0.0000, 0.6741)  8 Pd 2.51, 2 Cu 2.79-2.80
Be (0.0000, 0.5000, 0.0000)  8 Pd 2.43-2.51
Be (0.3335, 0.5000, 0.6665)  8 Pd 2.43-2.47
Be (0.6665, 0.5000, 0.3335)  8 Pd 2.43-2.47
Pd (0.5000, 0.2650, 0.0000)  6 Be 2.43-2.51, 2 Cu 2.54
Pd (0.8292, 0.2554, 0.6585)  7 Be 2.43-2.51, 1 Cu 2.55
Pd (0.1708, 0.7446, 0.3415)  7 Be 2.43-2.51, 1 Cu 2.55
Pd (0.1708, 0.2554, 0.3415)  7 Be 2.43-2.51, 1 Cu 2.55
Pd (0.8292, 0.7446, 0.6585)  7 Be 2.43-2.51, 1 Cu 2.55
Pd (0.5000, 0.7350, 0.0000)  6 Be 2.43-2.51, 2 Cu 2.54
Cu (0.0000, 0.0000, 0.0000)  8 Pd 2.54-2.55, 4 Be 2.79-2.80

***

Record 6
A plane-wave DFT calculation with PBE was carried out for a relaxed structure of Be2Cu2Pd7.

Computed properties:
**Total energy**: -4.690 eV/atom

a b c (Å): 6.6722 5.3844 5.3844
angles (deg): 113.91 96.43 96.43
With the nearest neighbours (Å) after each atom.
Atoms (fractional coordinates):
Cu (0.5000, 0.7535, 0.2465)  6 Pd 2.55-2.69
Cu (0.5000, 0.2465, 0.7535)  6 Pd 2.55-2.69
Pd (0.0000, 0.0000, 0.0000)  2 Be 2.15
Pd (0.8196, 0.5642, 0.0914)  1 Be 2.21
Pd (0.1804, 0.4358, 0.9086)  1 Be 2.21
Pd (0.7145, 0.5899, 0.5899)  1 Be 2.19
Pd (0.1804, 0.9086, 0.4358)  1 Be 2.21
Pd (0.2855, 0.4101, 0.4101)  1 Be 2.19
Pd (0.8196, 0.0914, 0.5642)  1 Be 2.21
Be (0.0960, 0.6726, 0.6726)  4 Pd 2.15-2.21, 1 Be 2.16
Be (0.9040, 0.3274, 0.3274)  4 Pd 2.15-2.21, 1 Be 2.16

***

Record 7
A plane-wave DFT calculation with PBE was carried out for a relaxed structure of Be11Cu9Pd4.

Computed properties:
**Total energy**: -4.316 eV/atom

a b c (Å): 2.7896 9.9498 9.9498
angles (deg): 112.53 90.00 90.00
With the nearest neighbours (Å) after each atom.
Atoms (fractional coordinates):
Cu (0.4803, 0.0304, 0.2024)  8 Be 2.36-2.43, 1 Cu 2.57
Cu (0.4803, 0.7976, 0.9696)  8 Be 2.36-2.43, 1 Cu 2.57
Cu (0.4803, 0.2024, 0.0304)  8 Be 2.36-2.43, 1 Cu 2.57
Cu (0.4803, 0.9696, 0.7976)  8 Be 2.36-2.43, 1 Cu 2.57
Cu (0.4796, 0.3725, 0.8724)  8 Be 2.30-2.43
Cu (0.4796, 0.1276, 0.6275)  8 Be 2.30-2.43
Cu (0.9780, 0.5000, 0.5000)  8 Pd 2.56, 2 Be 2.75, 2 Cu 2.79
Cu (0.4796, 0.6275, 0.1276)  8 Be 2.30-2.43
Cu (0.4796, 0.8724, 0.3725)  8 Be 2.30-2.43
Be (0.9789, 0.7661, 0.7661)  4 Cu 2.38, 4 Pd 2.46, 1 Be 2.58
Be (0.9798, 0.1708, 0.8292)  8 Cu 2.34-2.36
Be (0.9790, 0.0683, 0.4130)  6 Cu 2.30-2.43, 2 Pd 2.35-2.36
Be (0.9790, 0.9317, 0.5870)  6 Cu 2.30-2.43, 2 Pd 2.35-2.36
Be (0.9797, 0.0000, 0.0000)  8 Cu 2.37, 2 Be 2.58
Be (0.9784, 0.3338, 0.6662)  4 Cu 2.38-2.39, 4 Pd 2.45
Be (0.9789, 0.2339, 0.2339)  4 Cu 2.38, 4 Pd 2.46, 1 Be 2.58
Be (0.9790, 0.5870, 0.9317)  6 Cu 2.30-2.43, 2 Pd 2.35-2.36
Be (0.9790, 0.4130, 0.0683)  6 Cu 2.30-2.43, 2 Pd 2.35-2.36
Be (0.9784, 0.6662, 0.3338)  4 Cu 2.38-2.39, 4 Pd 2.45
Be (0.9798, 0.8292, 0.1708)  8 Cu 2.34-2.36
Pd (0.4781, 0.5518, 0.7304)  6 Be 2.35-2.46, 2 Cu 2.56
Pd (0.4781, 0.7304, 0.5518)  6 Be 2.35-2.46, 2 Cu 2.56
Pd (0.4781, 0.4482, 0.2696)  6 Be 2.35-2.46, 2 Cu 2.56
Pd (0.4781, 0.2696, 0.4482)  6 Be 2.35-2.46, 2 Cu 2.56

***

Record 8
A plane-wave DFT calculation with PBE was carried out for a relaxed structure of BeCuPd2.

Computed properties:
**Total energy**: -4.961 eV/atom

a b c (Å): 2.8112 2.8112 6.3614
angles (deg): 90.00 90.00 90.00
With the nearest neighbours (Å) after each atom.
Atoms (fractional coordinates):
Pd (0.0000, 0.0000, 0.2200)  4 Be 2.43, 4 Cu 2.67
Pd (0.0000, 0.0000, 0.7800)  4 Be 2.43, 4 Cu 2.67
Cu (0.5000, 0.5000, 0.5000)  8 Pd 2.67, 4 Cu 2.81
Be (0.5000, 0.5000, 0.0000)  8 Pd 2.43

***

Record 9
A plane-wave DFT calculation with PBE was carried out for a relaxed structure of BeCu2Pd8.

Computed properties:
**Total energy**: -4.741 eV/atom

a b c (Å): 4.6559 6.3451 6.3451
angles (deg): 84.10 76.14 76.14
With the nearest neighbours (Å) after each atom.
Atoms (fractional coordinates):
Be (0.0000, 0.0000, 0.0000)  2 Cu 2.24, 6 Pd 2.35-2.38
Pd (0.8025, 0.6911, 0.1531)  1 Be 2.38, 1 Cu 2.57
Pd (0.9053, 0.2603, 0.2603)  1 Be 2.35, 1 Cu 2.54
Pd (0.0947, 0.7397, 0.7397)  1 Be 2.35, 1 Cu 2.54
Pd (0.3057, 0.4182, 0.4182)  1 Cu 2.56, 7 Pd 2.69-2.87
Pd (0.1975, 0.8469, 0.3089)  1 Be 2.38, 1 Cu 2.57
Pd (0.8025, 0.1531, 0.6911)  1 Be 2.38, 1 Cu 2.57
Pd (0.1975, 0.3089, 0.8469)  1 Be 2.38, 1 Cu 2.57
Pd (0.6943, 0.5818, 0.5818)  1 Cu 2.56, 7 Pd 2.69-2.87
Cu (0.5041, 0.1307, 0.1307)  1 Be 2.24, 1 Cu 2.48
Cu (0.4959, 0.8693, 0.8693)  1 Be 2.24, 1 Cu 2.48

***

Record 10
A plane-wave DFT calculation with PBE was carried out for a relaxed structure of Be17CuPd.

Computed properties:
**Total energy**: -3.859 eV/atom

a b c (Å): 5.5409 5.5409 5.5409
angles (deg): 81.14 81.14 81.14
With the nearest neighbours (Å) after each atom.
Atoms (fractional coordinates):
Be (0.0015, 0.4986, 0.0015)  10 Be 2.08-2.23
Be (0.1639, 0.6630, 0.6630)  9 Be 2.08-2.25
Be (0.3398, 0.3398, 0.8387)  9 Be 2.08-2.25
Be (0.3093, 0.6906, 0.0028)  8 Be 2.15-2.25
Be (0.0956, 0.0956, 0.0956)  7 Be 2.11-2.25, 1 Cu 2.36
Be (0.3093, 0.0028, 0.6906)  8 Be 2.15-2.25
Be (0.6906, 0.3093, 0.0028)  8 Be 2.15-2.25
Be (0.0015, 0.0015, 0.4986)  10 Be 2.08-2.23
Be (0.6630, 0.1639, 0.6630)  9 Be 2.08-2.25
Be (0.6630, 0.6630, 0.1639)  9 Be 2.08-2.25
Be (0.9033, 0.9033, 0.9033)  7 Be 2.11-2.23
Be (0.8387, 0.3398, 0.3398)  9 Be 2.08-2.25
Be (0.6906, 0.0028, 0.3093)  8 Be 2.15-2.25
Be (0.0028, 0.6906, 0.3093)  8 Be 2.15-2.25
Be (0.4986, 0.0015, 0.0015)  10 Be 2.08-2.23
Be (0.0028, 0.3093, 0.6906)  8 Be 2.15-2.25
Be (0.3398, 0.8387, 0.3398)  9 Be 2.08-2.25
Pd (0.6748, 0.6748, 0.6748)  16 Be 2.50-2.78
Cu (0.3109, 0.3109, 0.3109)  13 Be 2.36-2.60

***

Record 11
A plane-wave DFT calculation with PBE was carried out for a relaxed structure of Pm3Be2CuPd9.

Computed properties:
**Total energy**: -5.392 eV/atom

a b c (Å): 6.6511 6.6511 7.0926
angles (deg): 90.00 90.00 120.00
With the nearest neighbours (Å) after each atom.
Atoms (fractional coordinates):
Pd (0.0000, 0.5000, 0.0000)  2 Be 2.17
Pd (0.8171, 0.1829, 0.6717)  1 Be 2.18, 1 Cu 2.43
Pd (0.1829, 0.8171, 0.3283)  1 Be 2.18, 1 Cu 2.43
Pd (0.6342, 0.8171, 0.3283)  1 Be 2.18, 1 Cu 2.43
Pd (0.3658, 0.1829, 0.6717)  1 Be 2.18, 1 Cu 2.43
Pd (0.1829, 0.3658, 0.3283)  1 Be 2.18, 1 Cu 2.43
Pd (0.8171, 0.6342, 0.6717)  1 Be 2.18, 1 Cu 2.43
Pd (0.5000, 0.0000, 0.0000)  2 Be 2.17
Pd (0.5000, 0.5000, 0.0000)  2 Be 2.17
Be (0.3333, 0.6667, 0.1421)  6 Pd 2.17-2.18
Be (0.6667, 0.3333, 0.8579)  6 Pd 2.17-2.18
Pm (0.6667, 0.3333, 0.3323)  6 Pd 2.97-3.04
Pm (0.0000, 0.0000, 0.0000)  12 Pd 3.14-3.33
Pm (0.3333, 0.6667, 0.6677)  6 Pd 2.97-3.04
Cu (0.0000, 0.0000, 0.5000)  6 Pd 2.43

***

Record 12
A plane-wave DFT calculation with PBE was carried out for a relaxed structure of Pm2Be3Cu12Pd.

Computed properties:
**Total energy**: -3.843 eV/atom

a b c (Å): 7.3063 7.3063 7.3063
angles (deg): 62.74 62.74 62.74
With the nearest neighbours (Å) after each atom.
Atoms (fractional coordinates):
Cu (0.3985, 0.8715, 0.8715)  1 Be 2.10
Cu (0.8715, 0.8715, 0.3985)  1 Be 2.10
Cu (0.1285, 0.1285, 0.6015)  1 Be 2.10
Cu (0.3325, 0.8970, 0.3325)  2 Be 2.10
Cu (0.1285, 0.6015, 0.1285)  1 Be 2.10
Cu (0.8970, 0.3325, 0.3325)  2 Be 2.10
Cu (0.6675, 0.6675, 0.1030)  2 Be 2.10
Cu (0.6675, 0.1030, 0.6675)  2 Be 2.10
Cu (0.6015, 0.1285, 0.1285)  1 Be 2.10
Cu (0.8715, 0.3985, 0.8715)  1 Be 2.10
Cu (0.1030, 0.6675, 0.6675)  2 Be 2.10
Cu (0.3325, 0.3325, 0.8970)  2 Be 2.10
Be (0.5000, 0.0000, 0.0000)  6 Cu 2.10
Be (0.0000, 0.0000, 0.5000)  6 Cu 2.10
Be (0.0000, 0.5000, 0.0000)  6 Cu 2.10
Pm (0.6031, 0.6031, 0.6031)  6 Cu 2.84-2.87
Pm (0.3969, 0.3969, 0.3969)  6 Cu 2.84-2.87
Pd (0.0000, 0.0000, 0.0000)  6 Cu 2.46